Density functional theory data (GGA-PBE) for a relaxed Nd2TmS4 crystal.

Values from the calculation:
Calculated volume, Å³/cell: 346
SG: Cmcm
M_tot, μB per formula unit: 0.00
Fermi-level density of states, states/eV/atom: 0.255
VASP energy, Ha/atom: -0.233
Offset from the most stable computed form, kJ/mol of atoms: 6.3

Cell: 6.9855 6.9855 13.4066 Å, 90.00 90.00 148.09°
Closest atoms and distances in Å follow each position.
Fractional positions:
Nd 0.1293 0.8707 0.5725  6 S 2.77-2.93
Nd 0.1293 0.8707 0.9275  6 S 2.77-2.93
Nd 0.8707 0.1293 0.0725  6 S 2.77-2.93
Nd 0.8707 0.1293 0.4275  6 S 2.77-2.93
Tm 0.3720 0.6280 0.7500  6 S 2.72-2.81
Tm 0.6280 0.3720 0.2500  6 S 2.72-2.81
S 0.0154 0.9846 0.7500  2 Tm 2.72, 2 Nd 2.83
S 0.2187 0.7813 0.1269  2 Tm 2.81, 3 Nd 2.90-2.93
S 0.2187 0.7813 0.3731  2 Tm 2.81, 3 Nd 2.90-2.93
S 0.5000 0.5000 0.0000  4 Nd 2.77
S 0.5000 0.5000 0.5000  4 Nd 2.77
S 0.7813 0.2187 0.6269  2 Tm 2.81, 3 Nd 2.90-2.93
S 0.7813 0.2187 0.8731  2 Tm 2.81, 3 Nd 2.90-2.93
S 0.9846 0.0154 0.2500  2 Tm 2.72, 2 Nd 2.83